1.
A geometry-optimized CsPtSe4 structure. Source: Alexandria via LeMat-Bulk, functional PBE.

a b c (Å): 8.5811 8.5811 7.4722
angles (deg): 100.72 100.72 125.85
With the nearest neighbours (Å) after each atom.
Fractional coordinates of all 12 atoms:
1 Cs 0.0882 0.9118 0.7500  4 Se 3.61-3.62
2 Cs 0.9118 0.0882 0.2500  4 Se 3.61-3.62
3 Pt 0.4995 0.5005 0.2500  4 Se 2.46-2.47
4 Pt 0.5005 0.4995 0.7500  4 Se 2.46-2.47
5 Se 0.0154 0.6757 0.1146  2 Se 2.43-2.64
6 Se 0.3243 0.9846 0.3854  2 Se 2.43-2.64
7 Se 0.3907 0.6015 0.9969  2 Pt 2.46-2.47, 1 Se 2.64
8 Se 0.3985 0.6093 0.5031  2 Pt 2.46-2.47, 1 Se 2.64
9 Se 0.6015 0.3907 0.4969  2 Pt 2.46-2.47, 1 Se 2.64
10 Se 0.6093 0.3985 0.0031  2 Pt 2.46-2.47, 1 Se 2.64
11 Se 0.6757 0.0154 0.6146  2 Se 2.43-2.64
12 Se 0.9846 0.3243 0.8854  2 Se 2.43-2.64

Values from the calculation:
The density of states at the Fermi level comes out at 0.950 states/eV/f.u. The value obtained for the total magnetization is 0.00 μB per cell. The formation energy (no corrections) is -2.50 eV per formula unit. The volume is 204 Å³/f.u. The crystal system is monoclinic.

2.
A geometry-optimized NpZn5Pd4 structure. Source: Alexandria via LeMat-Bulk, functional PBE.

a b c (Å): 2.9070 2.9070 18.3248
angles (deg): 90.00 90.00 90.00
With the nearest neighbours (Å) after each atom.
Fractional coordinates of all 10 atoms:
1 Np 0.0000 0.0000 0.0000  4 Np 2.91, 8 Zn 3.13
2 Zn 0.5000 0.5000 0.1286  4 Pd 2.66, 4 Zn 2.91
3 Zn 0.5000 0.5000 0.3140  8 Pd 2.67, 4 Zn 2.91
4 Zn 0.5000 0.5000 0.5000  8 Pd 2.67, 4 Zn 2.91
5 Zn 0.5000 0.5000 0.6860  8 Pd 2.67, 4 Zn 2.91
6 Zn 0.5000 0.5000 0.8714  4 Pd 2.66, 4 Zn 2.91
7 Pd 0.0000 0.0000 0.2209  8 Zn 2.66-2.67, 4 Pd 2.91
8 Pd 0.0000 0.0000 0.4071  8 Zn 2.67, 4 Pd 2.91
9 Pd 0.0000 0.0000 0.5929  8 Zn 2.67, 4 Pd 2.91
10 Pd 0.0000 0.0000 0.7791  8 Zn 2.66-2.67, 4 Pd 2.91

Values from the calculation:
For the calculated total energy, the calculation gives -4.4124 eV per atom. The density of states at the Fermi level comes out at 6.619 states/eV/f.u. The value obtained for the total magnetization is 4.13 μB per cell. The volume is 155 Å³/f.u. The crystal system is tetragonal.

3.
A geometry-optimized Y2PuIn structure. Source: Alexandria via LeMat-Bulk, functional PBE.

a b c (Å): 3.5306 3.5306 9.0541
angles (deg): 90.00 90.00 90.00
With the nearest neighbours (Å) after each atom.
Fractional coordinates of all 4 atoms:
1 Y 0.0000 0.0000 0.2324  4 In 3.27, 4 Pu 3.48, 4 Y 3.53
2 Y 0.0000 0.0000 0.7676  4 In 3.27, 4 Pu 3.48, 4 Y 3.53
3 Pu 0.5000 0.5000 0.5000  8 Y 3.48, 4 Pu 3.53
4 In 0.5000 0.5000 0.0000  8 Y 3.27, 4 In 3.53

Values from the calculation:
For the calculated total energy, the calculation gives -7.6483 eV per atom. The density of states at the Fermi level comes out at 8.917 states/eV/f.u. The value obtained for the total magnetization is 6.14 μB per cell. The volume is 113 Å³/f.u. The crystal system is tetragonal.

4.
A geometry-optimized La6Pm5Er2 structure. Source: Alexandria via LeMat-Bulk, functional PBE.

a b c (Å): 11.2650 23.0187 3.5983
angles (deg): 90.00 90.00 90.00
With the nearest neighbours (Å) after each atom.
Fractional coordinates of all 26 atoms:
1 La 0.0330 0.1112 0.0000  1 Er 3.45, 2 La 3.60, 6 Pm 3.62-3.72
2 La 0.1340 0.3834 0.0000  1 Er 3.39, 4 Pm 3.57-3.65, 2 La 3.60
3 La 0.1651 0.6364 0.5000  6 La 3.60-3.89, 2 Er 3.65, 4 Pm 3.65-3.90
4 La 0.3349 0.1364 0.5000  6 La 3.60-3.89, 2 Er 3.65, 4 Pm 3.65-3.90
5 La 0.3660 0.8834 0.0000  1 Er 3.39, 4 Pm 3.57-3.65, 2 La 3.60
6 La 0.4670 0.6112 0.0000  1 Er 3.45, 2 La 3.60, 6 Pm 3.62-3.72
7 La 0.5330 0.3888 0.0000  1 Er 3.45, 2 La 3.60, 6 Pm 3.62-3.72
8 La 0.6340 0.1166 0.0000  1 Er 3.39, 4 Pm 3.57-3.65, 2 La 3.60
9 La 0.6651 0.8636 0.5000  6 La 3.60-3.89, 2 Er 3.65, 4 Pm 3.65-3.90
10 La 0.8349 0.3636 0.5000  6 La 3.60-3.89, 2 Er 3.65, 4 Pm 3.65-3.90
11 La 0.8660 0.6166 0.0000  1 Er 3.39, 4 Pm 3.57-3.65, 2 La 3.60
12 La 0.9670 0.8888 0.0000  1 Er 3.45, 2 La 3.60, 6 Pm 3.62-3.72
13 Pm 0.0000 0.5000 0.5000  6 La 3.57-3.65, 4 Pm 3.60-3.77
14 Pm 0.0865 0.2474 0.5000  4 Er 3.39, 2 Pm 3.60, 5 La 3.65-3.79
15 Pm 0.1659 0.9911 0.5000  4 Pm 3.60-3.77, 7 La 3.62-3.85
16 Pm 0.3341 0.4911 0.5000  4 Pm 3.60-3.77, 7 La 3.62-3.85
17 Pm 0.4135 0.7474 0.5000  4 Er 3.39, 2 Pm 3.60, 5 La 3.65-3.79
18 Pm 0.5000 0.0000 0.5000  6 La 3.57-3.65, 4 Pm 3.60-3.77
19 Pm 0.5865 0.2526 0.5000  4 Er 3.39, 2 Pm 3.60, 5 La 3.65-3.79
20 Pm 0.6659 0.5089 0.5000  4 Pm 3.60-3.77, 7 La 3.62-3.85
21 Pm 0.8341 0.0089 0.5000  4 Pm 3.60-3.77, 7 La 3.62-3.85
22 Pm 0.9135 0.7526 0.5000  4 Er 3.39, 2 Pm 3.60, 5 La 3.65-3.79
23 Er 0.1644 0.7741 0.0000  4 Pm 3.39, 4 La 3.39-3.65, 2 Er 3.60
24 Er 0.3356 0.2741 0.0000  4 Pm 3.39, 4 La 3.39-3.65, 2 Er 3.60
25 Er 0.6644 0.7259 0.0000  4 Pm 3.39, 4 La 3.39-3.65, 2 Er 3.60
26 Er 0.8356 0.2259 0.0000  4 Pm 3.39, 4 La 3.39-3.65, 2 Er 3.60

Values from the calculation:
For the calculated total energy, the calculation gives -4.6636 eV per atom. The density of states at the Fermi level comes out at 20.014 states/eV/f.u. The value obtained for the total magnetization is 0.00 μB per cell. The volume is 467 Å³/f.u. The crystal system is orthorhombic.

5.
A geometry-optimized MnCuCl structure. Source: Alexandria via LeMat-Bulk, functional PBE.

a b c (Å): 4.2719 4.2719 3.0874
angles (deg): 90.00 90.00 120.00
With the nearest neighbours (Å) after each atom.
Fractional coordinates of all 3 atoms:
1 Mn 0.0000 0.0000 0.0000  3 Cl 2.47
2 Cu 0.6667 0.3333 0.5000  6 Mn 2.91, 6 Cl 2.91, 2 Cu 3.09
3 Cl 0.3333 0.6667 0.0000  3 Mn 2.47

Values from the calculation:
The density of states at the Fermi level comes out at 1.897 states/eV/f.u. The value obtained for the total magnetization is 3.92 μB per cell. The formation energy (no corrections) is 1.08 eV per formula unit. The volume is 49 Å³/f.u. The crystal system is hexagonal.

6.
A geometry-optimized Zr2NbCuAu structure. Source: Alexandria via LeMat-Bulk, functional PBE.

a b c (Å): 5.1462 5.1462 4.6004
angles (deg): 90.00 90.00 90.00
With the nearest neighbours (Å) after each atom.
Fractional coordinates of all 5 atoms:
1 Zr 0.0000 0.5000 0.0000  2 Au 2.57
2 Zr 0.5000 0.0000 0.0000  2 Au 2.57
3 Nb 0.0000 0.0000 0.5000  8 Zr 3.45, 4 Cu 3.64
4 Cu 0.5000 0.5000 0.5000  2 Au 2.30
5 Au 0.5000 0.5000 0.0000  2 Cu 2.30, 4 Zr 2.57

Values from the calculation:
For the calculated total energy, the calculation gives -5.9216 eV per atom. The density of states at the Fermi level comes out at 7.829 states/eV/f.u. The value obtained for the total magnetization is 1.49 μB per cell. The volume is 122 Å³/f.u. The crystal system is tetragonal.

7.
A geometry-optimized Zr2Ge3Ru structure. Source: Alexandria via LeMat-Bulk, functional PBE.

a b c (Å): 6.2415 6.2415 6.2415
angles (deg): 142.77 128.23 65.48
With the nearest neighbours (Å) after each atom.
Fractional coordinates of all 6 atoms:
1 Zr 0.1756 0.1756 0.0000  6 Ge 2.71-2.74
2 Zr 0.8244 0.8244 0.0000  6 Ge 2.71-2.74
3 Ge 0.0000 0.5000 0.5000  4 Zr 2.71, 2 Ru 2.72
4 Ge 0.3527 0.8527 0.5000  2 Ru 2.52, 4 Zr 2.73-2.74
5 Ge 0.6473 0.1473 0.5000  2 Ru 2.52, 4 Zr 2.73-2.74
6 Ru 0.5000 0.5000 0.0000  6 Ge 2.52-2.72

Values from the calculation:
For the calculated total energy, the calculation gives -7.0407 eV per atom. The density of states at the Fermi level comes out at 6.437 states/eV/f.u. The value obtained for the total magnetization is 0.31 μB per cell. The volume is 114 Å³/f.u. The crystal system is orthorhombic.

8.
A geometry-optimized MnIn2Tc structure. Source: Alexandria via LeMat-Bulk, functional PBE.

a b c (Å): 5.3385 5.3385 5.3385
angles (deg): 135.99 135.99 63.99
With the nearest neighbours (Å) after each atom.
Fractional coordinates of all 4 atoms:
1 Mn 0.0000 0.0000 0.0000  8 In 2.83-3.02, 4 Tc 3.02
2 In 0.5000 0.5000 0.0000  4 Mn 2.83, 4 Tc 3.02, 4 In 3.02
3 In 0.7500 0.2500 0.5000  4 Tc 2.83, 4 In 3.02, 4 Mn 3.02
4 Tc 0.2500 0.7500 0.5000  8 In 2.83-3.02, 4 Mn 3.02

Values from the calculation:
For the calculated total energy, the calculation gives -5.9413 eV per atom. The density of states at the Fermi level comes out at 3.270 states/eV/f.u. The value obtained for the total magnetization is 5.14 μB per cell. The volume is 72 Å³/f.u. The crystal system is tetragonal.

9.
A geometry-optimized Ta2NbVH structure. Source: Alexandria via LeMat-Bulk, functional PBE.

a b c (Å): 4.5263 4.5263 3.4423
angles (deg): 90.00 90.00 90.00
With the nearest neighbours (Å) after each atom.
Fractional coordinates of all 5 atoms:
1 Ta 0.0000 0.5000 0.0000  2 H 2.26
2 Ta 0.5000 0.0000 0.0000  2 H 2.26
3 Nb 0.0000 0.0000 0.5000  8 Ta 2.84
4 V 0.5000 0.5000 0.5000  2 H 1.72
5 H 0.5000 0.5000 0.0000  2 V 1.72

Values from the calculation:
For the calculated total energy, the calculation gives -9.2809 eV per atom. The density of states at the Fermi level comes out at 6.462 states/eV/f.u. The value obtained for the total magnetization is 0.00 μB per cell. The volume is 71 Å³/f.u. The crystal system is tetragonal.

10.
A geometry-optimized MgSbTe2 structure. Source: Alexandria via LeMat-Bulk, functional PBE.

a b c (Å): 7.8464 7.8464 7.8464
angles (deg): 150.60 149.98 42.51
With the nearest neighbours (Å) after each atom.
Fractional coordinates of all 4 atoms:
1 Mg 0.0000 0.0000 0.0000  6 Te 2.98-3.19
2 Sb 0.2396 0.7396 0.5000  6 Te 3.13-3.31
3 Te 0.5605 0.5605 0.0000  4 Mg 2.98, 2 Sb 3.31
4 Te 0.8293 0.3293 0.5000  4 Sb 3.13, 2 Mg 3.19

Values from the calculation:
The density of states at the Fermi level comes out at 1.759 states/eV/f.u. The value obtained for the total magnetization is 0.00 μB per cell. The formation energy (no corrections) is -0.82 eV per formula unit. The volume is 118 Å³/f.u. The crystal system is orthorhombic.